The following is a PBEsol calculation of Co2RePt after structural relaxation, from Alexandria.

Geometry as CIF:
```
data_Co2RePt
_chemical_formula_sum 'Co2 Re1 Pt1'
_space_group_name_H-M_alt 'P 4/m m m'
_space_group_IT_number 123
_space_group_name_Hall '-P 4 2'
_cell_length_a 3.763
_cell_length_b 3.763
_cell_length_c 3.490
_cell_angle_alpha 90.00
_cell_angle_beta 90.00
_cell_angle_gamma 90.00
loop_
_atom_site_label
_atom_site_fract_x
_atom_site_fract_y
_atom_site_fract_z
Co1 0.000 0.500 0.000
Re1 0.000 0.000 0.500
Pt1 0.500 0.500 0.500
```

Summary:
- Total energy: -35.524 eV per cell
- Energy of formation from the pure elements: 61 meV/atom
- Distance to the lowest polymorph of the same formula: 19 kJ/mol of formula units
- Crystal system: tetragonal